A relaxed Pr2SmCo2B2O3 crystal. Source: the Open Quantum Materials Database, functional PBE+U.

a = 10.331 Å, b = 10.331 Å, c = 10.331 Å
α = 159.99°, β = 159.99°, γ = 28.44°
Atoms (fractional coordinates):
O 0.119 0.119 0.000
B 0.201 0.201 0.000
B 0.799 0.799 0.000
Sm 0.000 0.000 0.000
O 0.881 0.881 0.000
Pr 0.366 0.366 0.000
Co 0.250 0.750 0.500
O 0.500 0.500 0.000
Pr 0.634 0.634 0.000
Co 0.750 0.250 0.500

total moment = 0.00 μB per formula unit
uncorrected energy = -6.7896 eV/atom